(1)
LaZnTe2 at its PBEsol-relaxed geometry. Source: Alexandria, functional SCAN.

Summary:
**Formation energy (no corrections)**: -2.14 eV/f.u.
**Fermi-level density of states**: 5.9 states/eV per cell
**E**: -33.32 eV/atom

```
data_LaZnTe2
_space_group_name_H-M_alt 'F -4 3 m'
_space_group_IT_number 216
_space_group_name_Hall 'F -4 2 3'
_cell_length_a 7.550
_cell_length_b 7.550
_cell_length_c 7.550
_cell_angle_alpha 90.00
_cell_angle_beta 90.00
_cell_angle_gamma 90.00
loop_
_atom_site_label
_atom_site_fract_x
_atom_site_fract_y
_atom_site_fract_z
_atom_site_occupancy
La1 0.000 0.000 0.000 1
Zn1 0.250 0.250 0.750 1
Te1 0.000 0.000 0.500 1
Te2 0.250 0.250 0.250 1
```

(2)
LaZnTe2 at its PBEsol-relaxed geometry. Source: Alexandria, functional SCAN.

Summary:
**Formation energy (no corrections)**: -4.41 eV/f.u.
**Fermi-level density of states**: 1.0 states/eV per cell
**E**: -33.88 eV/atom

```
data_LaZnTe2
_space_group_name_H-M_alt 'P 1 m 1'
_space_group_IT_number 6
_space_group_name_Hall 'P -2y'
_cell_length_a 4.212
_cell_length_b 4.367
_cell_length_c 6.375
_cell_angle_alpha 90.00
_cell_angle_beta 109.14
_cell_angle_gamma 90.00
loop_
_atom_site_label
_atom_site_fract_x
_atom_site_fract_y
_atom_site_fract_z
_atom_site_occupancy
La1 0.000 0.000 0.000 1
Zn1 0.818 0.500 0.588 1
Te1 0.298 0.000 0.592 1
Te2 0.573 0.500 0.147 1
```

(3)
LaZrTe2 at its PBEsol-relaxed geometry. Source: Alexandria, functional SCAN.

Summary:
**Formation energy (no corrections)**: -4.32 eV/f.u.
**Fermi-level density of states**: 2.8 states/eV per cell
**E**: -38.16 eV/atom
**Energy relative to the lowest polymorph listed for this composition**: 0.000 eV/atom

```
data_LaZrTe2
_space_group_name_H-M_alt 'P 4/m m m'
_space_group_IT_number 123
_space_group_name_Hall '-P 4 2'
_cell_length_a 5.233
_cell_length_b 5.233
_cell_length_c 3.706
_cell_angle_alpha 90.00
_cell_angle_beta 90.00
_cell_angle_gamma 90.00
loop_
_atom_site_label
_atom_site_fract_x
_atom_site_fract_y
_atom_site_fract_z
_atom_site_occupancy
La1 0.000 0.000 0.000 1
Zr1 0.500 0.500 0.000 1
Te1 0.000 0.500 0.500 1
```

(4)
La2ZrTe at its PBEsol-relaxed geometry. Source: Alexandria, functional SCAN.

Summary:
**Formation energy (no corrections)**: -2.18 eV/f.u.
**Fermi-level density of states**: 5.7 states/eV per cell
**E**: -39.09 eV/atom

```
data_La2ZrTe
_space_group_name_H-M_alt 'C 1 m 1'
_space_group_IT_number 8
_space_group_name_Hall 'C -2y'
_cell_length_a 11.944
_cell_length_b 3.612
_cell_length_c 5.492
_cell_angle_alpha 90.00
_cell_angle_beta 106.22
_cell_angle_gamma 90.00
loop_
_atom_site_label
_atom_site_fract_x
_atom_site_fract_y
_atom_site_fract_z
_atom_site_occupancy
La1 0.000 0.000 0.000 1
La2 0.208 0.000 0.627 1
Zr1 0.271 0.500 0.171 1
Te1 0.453 0.000 0.476 1
```

(5)
LaZrTe2 at its PBEsol-relaxed geometry. Source: Alexandria, functional SCAN.

Summary:
**Formation energy (no corrections)**: -3.21 eV/f.u.
**Fermi-level density of states**: 4.0 states/eV per cell
**E**: -37.88 eV/atom
**Energy relative to the lowest polymorph listed for this composition**: 0.277 eV/atom

```
data_LaZrTe2
_space_group_name_H-M_alt 'I -4 m 2'
_space_group_IT_number 119
_space_group_name_Hall 'I -4 -2'
_cell_length_a 4.365
_cell_length_b 4.365
_cell_length_c 11.363
_cell_angle_alpha 90.00
_cell_angle_beta 90.00
_cell_angle_gamma 90.00
loop_
_atom_site_label
_atom_site_fract_x
_atom_site_fract_y
_atom_site_fract_z
_atom_site_occupancy
La1 0.000 0.000 0.000 1
Zr1 0.000 0.500 0.750 1
Te1 0.000 0.000 0.500 1
Te2 0.000 0.500 0.250 1
```

(6)
La2ZrTe at its PBEsol-relaxed geometry. Source: Alexandria, functional SCAN.

Summary:
**Formation energy (no corrections)**: -1.66 eV/f.u.
**Fermi-level density of states**: 13.0 states/eV per cell
**E**: -38.96 eV/atom

```
data_La2ZrTe
_space_group_name_H-M_alt 'R -3 m'
_space_group_IT_number 166
_space_group_name_Hall '-R 3 2"'
_cell_length_a 3.8148
_cell_length_b 3.8148
_cell_length_c 29.4771
_cell_angle_alpha 90.00
_cell_angle_beta 90.00
_cell_angle_gamma 120.00
loop_
_atom_site_label
_atom_site_fract_x
_atom_site_fract_y
_atom_site_fract_z
_atom_site_occupancy
La1 0.0000 0.0000 0.2444 1
Zr1 0.0000 0.0000 0.0000 1
Te1 0.0000 0.0000 0.5000 1
```

(7)
LaZr3Te at its PBEsol-relaxed geometry. Source: Alexandria, functional SCAN.

Summary:
**Formation energy (no corrections)**: 1.12 eV/f.u.
**Fermi-level density of states**: 4.7 states/eV per cell
**E**: -34.27 eV/atom

```
data_LaZr3Te
_space_group_name_H-M_alt 'P m -3 m'
_space_group_IT_number 221
_space_group_name_Hall '-P 4 2 3'
_cell_length_a 5.309
_cell_length_b 5.309
_cell_length_c 5.309
_cell_angle_alpha 90.00
_cell_angle_beta 90.00
_cell_angle_gamma 90.00
loop_
_atom_site_label
_atom_site_fract_x
_atom_site_fract_y
_atom_site_fract_z
_atom_site_occupancy
La1 0.000 0.000 0.000 1
Zr1 0.000 0.500 0.500 1
Te1 0.500 0.500 0.500 1
```

(8)
LaZr3Ti at its PBEsol-relaxed geometry. Source: Alexandria, functional SCAN.

Summary:
**ΔE_f**: 0.5505 eV per atom
**Fermi-level density of states**: 7.3 states/eV per cell
**E**: -29.70 eV/atom
**Energy relative to the lowest polymorph listed for this composition**: 0.000 eV/atom

```
data_LaZr3Ti
_space_group_name_H-M_alt 'P m -3 m'
_space_group_IT_number 221
_space_group_name_Hall '-P 4 2 3'
_cell_length_a 5.050
_cell_length_b 5.050
_cell_length_c 5.050
_cell_angle_alpha 90.00
_cell_angle_beta 90.00
_cell_angle_gamma 90.00
loop_
_atom_site_label
_atom_site_fract_x
_atom_site_fract_y
_atom_site_fract_z
_atom_site_occupancy
La1 0.000 0.000 0.000 1
Zr1 0.000 0.500 0.500 1
Ti1 0.500 0.500 0.500 1
```

(9)
LaZr3Ti at its PBEsol-relaxed geometry. Source: Alexandria, functional SCAN.

Summary:
**ΔE_f**: 1.2943 eV per atom
**Fermi-level density of states**: 7.3 states/eV per cell
**E**: -28.95 eV/atom
**Energy relative to the lowest polymorph listed for this composition**: 0.744 eV/atom

```
data_LaZr3Ti
_space_group_name_H-M_alt 'P m -3 m'
_space_group_IT_number 221
_space_group_name_Hall '-P 4 2 3'
_cell_length_a 5.037
_cell_length_b 5.037
_cell_length_c 5.037
_cell_angle_alpha 90.00
_cell_angle_beta 90.00
_cell_angle_gamma 90.00
loop_
_atom_site_label
_atom_site_fract_x
_atom_site_fract_y
_atom_site_fract_z
_atom_site_occupancy
La1 0.000 0.000 0.000 1
Zr1 0.000 0.000 0.500 1
Ti1 0.500 0.500 0.500 1
```

(10)
La3ZrTi at its PBEsol-relaxed geometry. Source: Alexandria, functional SCAN.

Summary:
**ΔE_f**: 0.8274 eV per atom
**Fermi-level density of states**: 7.7 states/eV per cell
**E**: -34.38 eV/atom

```
data_La3ZrTi
_space_group_name_H-M_alt 'P m -3 m'
_space_group_IT_number 221
_space_group_name_Hall '-P 4 2 3'
_cell_length_a 5.556
_cell_length_b 5.556
_cell_length_c 5.556
_cell_angle_alpha 90.00
_cell_angle_beta 90.00
_cell_angle_gamma 90.00
loop_
_atom_site_label
_atom_site_fract_x
_atom_site_fract_y
_atom_site_fract_z
_atom_site_occupancy
La1 0.000 0.000 0.500 1
Zr1 0.000 0.000 0.000 1
Ti1 0.500 0.500 0.500 1
```

(11)
La3Tl5 at its PBEsol-relaxed geometry. Source: Alexandria, functional SCAN.

Summary:
**ΔE_f**: -0.5588 eV per atom
**Fermi-level density of states**: 10.5 states/eV per cell
**E**: -61.95 eV/atom
**Energy relative to the lowest polymorph listed for this composition**: 0.000 eV/atom

```
data_La3Tl5
_space_group_name_H-M_alt 'C m m m'
_space_group_IT_number 65
_space_group_name_Hall '-C 2 2'
_cell_length_a 9.070
_cell_length_b 10.123
_cell_length_c 5.009
_cell_angle_alpha 90.00
_cell_angle_beta 90.00
_cell_angle_gamma 90.00
loop_
_atom_site_label
_atom_site_fract_x
_atom_site_fract_y
_atom_site_fract_z
_atom_site_occupancy
La1 0.000 0.000 0.000 1
La2 0.000 0.279 0.500 1
Tl1 0.000 0.500 0.000 1
Tl2 0.232 0.000 0.500 1
Tl3 0.250 0.250 0.000 1
```

(12)
La3Tl5 at its PBEsol-relaxed geometry. Source: Alexandria, functional SCAN.

Summary:
**ΔE_f**: -0.4539 eV per atom
**Fermi-level density of states**: 18.1 states/eV per cell
**E**: -61.84 eV/atom
**Energy relative to the lowest polymorph listed for this composition**: 0.105 eV/atom

```
data_La3Tl5
_space_group_name_H-M_alt 'I 4/m c m'
_space_group_IT_number 140
_space_group_name_Hall '-I 4 2c'
_cell_length_a 12.214
_cell_length_b 12.214
_cell_length_c 6.257
_cell_angle_alpha 90.00
_cell_angle_beta 90.00
_cell_angle_gamma 90.00
loop_
_atom_site_label
_atom_site_fract_x
_atom_site_fract_y
_atom_site_fract_z
_atom_site_occupancy
La1 0.000 0.000 0.250 1
La2 0.166 0.334 0.000 1
Tl1 0.000 0.500 0.250 1
Tl2 0.081 0.233 0.500 1
```

- What is the formula in the eighth record?
  LaZr3Ti

- Among the records above, which one has the highest Fermi-level density of states?
  number 12

- What is the Fermi-level density of states in the twelfth record?
  18.1 states/eV per cell